[1]
A plane-wave DFT calculation with PBE was carried out for a geometry-optimized RbC structure.

Unit cell a=5.443 b=5.443 c=6.404 alpha=90.00 beta=90.00 gamma=120.00
Fractional coordinates of all 4 atoms:
C: 0.667 0.333 0.750
C: 0.333 0.667 0.250
Rb: 0.333 0.667 0.750
Rb: 0.667 0.333 0.250

Computed properties:
The calculation puts the volume at 41.07 A^3/atom. The polymorph energy (0 for the lowest one) comes out at 2042 meV/atom. As for the crystal system: hexagonal. The energy of formation from the pure elements comes out at 2336 meV/atom.



[2]
A plane-wave DFT calculation with PBE was carried out for a geometry-optimized RbC structure.

Unit cell a=4.800 b=9.465 c=9.850 alpha=90.00 beta=90.00 gamma=90.00
Fractional coordinates of all 16 atoms:
Rb: 0.750 0.661 0.572
Rb: 0.750 0.161 0.928
Rb: 0.250 0.839 0.072
Rb: 0.750 0.513 0.168
Rb: 0.250 0.339 0.428
Rb: 0.250 0.487 0.832
Rb: 0.750 0.013 0.332
Rb: 0.250 0.987 0.668
C: 0.250 0.789 0.409
C: 0.750 0.711 0.909
C: 0.750 0.831 0.852
C: 0.750 0.211 0.591
C: 0.250 0.669 0.352
C: 0.250 0.289 0.091
C: 0.750 0.331 0.648
C: 0.250 0.169 0.148

Computed properties:
The calculation puts the volume at 27.97 A^3/atom. The polymorph energy (0 for the lowest one) comes out at 19 meV/atom. As for the crystal system: orthorhombic. The energy of formation from the pure elements comes out at 313 meV/atom.



[3]
A plane-wave DFT calculation with PBE was carried out for a geometry-optimized RbC structure.

Unit cell a=8.717 b=8.717 c=8.717 alpha=90.00 beta=90.00 gamma=90.00
Fractional coordinates of all 12 atoms:
Rb: 0.750 0.500 0.000
Rb: 0.250 0.500 0.000
Rb: 0.000 0.750 0.500
Rb: 0.500 0.000 0.750
Rb: 0.000 0.250 0.500
Rb: 0.500 0.000 0.250
C: 0.250 0.000 0.500
C: 0.750 0.000 0.500
C: 0.000 0.500 0.250
C: 0.000 0.500 0.750
C: 0.500 0.250 0.000
C: 0.500 0.750 0.000

Computed properties:
The calculation puts the volume at 55.21 A^3/atom. The polymorph energy (0 for the lowest one) comes out at 2088 meV/atom. As for the crystal system: cubic. The energy of formation from the pure elements comes out at 2382 meV/atom.



Repeat the first record exactly.
A plane-wave DFT calculation with PBE was carried out for a geometry-optimized RbC structure.

Unit cell a=5.443 b=5.443 c=6.404 alpha=90.00 beta=90.00 gamma=120.00
Fractional coordinates of all 4 atoms:
C: 0.667 0.333 0.750
C: 0.333 0.667 0.250
Rb: 0.333 0.667 0.750
Rb: 0.667 0.333 0.250

Computed properties:
The calculation puts the volume at 41.07 A^3/atom. The polymorph energy (0 for the lowest one) comes out at 2042 meV/atom. As for the crystal system: hexagonal. The energy of formation from the pure elements comes out at 2336 meV/atom.



Among the records above, which one has the highest energy of formation from the pure elements?
number 3



What did the third record say?
A plane-wave DFT calculation with PBE was carried out for a geometry-optimized RbC structure.

Unit cell a=8.717 b=8.717 c=8.717 alpha=90.00 beta=90.00 gamma=90.00
Fractional coordinates of all 12 atoms:
Rb: 0.750 0.500 0.000
Rb: 0.250 0.500 0.000
Rb: 0.000 0.750 0.500
Rb: 0.500 0.000 0.750
Rb: 0.000 0.250 0.500
Rb: 0.500 0.000 0.250
C: 0.250 0.000 0.500
C: 0.750 0.000 0.500
C: 0.000 0.500 0.250
C: 0.000 0.500 0.750
C: 0.500 0.250 0.000
C: 0.500 0.750 0.000

Computed properties:
The calculation puts the volume at 55.21 A^3/atom. The polymorph energy (0 for the lowest one) comes out at 2088 meV/atom. As for the crystal system: cubic. The energy of formation from the pure elements comes out at 2382 meV/atom.



Which formula does entry 2 have?
RbC